i:
The following is a DFT calculation (GGA-PBE) of a relaxed Rb4Ag crystal.

The structure in POSCAR format:
```
Rb4Ag
1.0
7.1659 0.0000 0.0000
0.0000 7.1659 0.0000
0.0000 0.0000 7.1659
Rb Ag
4 1
Direct
0.0000 0.0000 0.0000
0.0000 0.5000 0.5000
0.5000 0.0000 0.5000
0.5000 0.5000 0.0000
0.5000 0.5000 0.5000
```

Its density of states at the Fermi level is 4.08 states/eV/f.u. The total magnetization is 0.0 μB per formula unit.

***

ii:
The following is a DFT calculation (GGA-PBE) of a relaxed Rb4Ag crystal.

The structure in POSCAR format:
```
Rb4Ag
1.0
-4.6637 9.0877 4.0531
4.6637 -9.0877 4.0531
4.6637 9.0877 -4.0531
Rb Ag
8 2
Direct
0.0748 0.6955 0.7703
0.1640 0.1428 0.3068
0.3360 0.6428 0.9788
0.4252 0.1955 0.6207
0.5748 0.8045 0.3793
0.6640 0.3572 0.0212
0.8360 0.8572 0.6932
0.9252 0.3045 0.2297
0.2500 0.2500 0.0000
0.7500 0.7500 0.0000
```

Its density of states at the Fermi level is 3.29 states/eV/f.u. The total magnetization is 0.0 μB per formula unit.

***

Energy ordering: ii at the bottom, the next structure 7 meV per atom above.

***

i:
The following is a DFT calculation (GGA-PBE) of a relaxed Rb6Ag crystal.

The structure in POSCAR format:
```
Rb6Ag
1.0
16.5974 0.0000 0.0000
0.0000 15.1118 0.0000
0.0000 0.0000 8.7113
Rb Ag
24 4
Direct
0.0013 0.0825 0.2465
0.0013 0.4175 0.2465
0.0042 0.2500 0.7430
0.2452 0.7500 0.9150
0.2478 0.5825 0.4128
0.2478 0.9175 0.4128
0.2522 0.0825 0.9128
0.2522 0.4175 0.9128
0.2548 0.2500 0.4150
0.4958 0.7500 0.2430
0.4987 0.5825 0.7465
0.4987 0.9175 0.7465
0.5013 0.0825 0.2535
0.5013 0.4175 0.2535
0.5042 0.2500 0.7570
0.7452 0.7500 0.5850
0.7478 0.5825 0.0872
0.7478 0.9175 0.0872
0.7522 0.0825 0.5872
0.7522 0.4175 0.5872
0.7548 0.2500 0.0850
0.9958 0.7500 0.2570
0.9987 0.5825 0.7535
0.9987 0.9175 0.7535
0.1273 0.2500 0.0820
0.3727 0.7500 0.5820
0.6273 0.2500 0.4180
0.8727 0.7500 0.9180
```

Its density of states at the Fermi level is 5.23 states/eV/f.u. The total magnetization is 0.0 μB per formula unit.

***

ii:
The following is a DFT calculation (GGA-PBE) of a relaxed Rb6Ag crystal.

The structure in POSCAR format:
```
Rb6Ag
1.0
-6.1350 6.1350 6.1350
6.1350 -6.1350 6.1350
6.1350 6.1350 -6.1350
Rb Ag
6 1
Direct
0.2500 0.5000 0.7500
0.2500 0.7500 0.5000
0.5000 0.2500 0.7500
0.5000 0.7500 0.2500
0.7500 0.2500 0.5000
0.7500 0.5000 0.2500
0.0000 0.0000 0.0000
```

Its density of states at the Fermi level is 6.87 states/eV/f.u. The total magnetization is 0.0 μB per formula unit.

***

Energy ordering: i at the bottom, the next structure 478 meV per atom above.

***

i:
The following is a DFT calculation (GGA-PBE) of a relaxed Rb3Ag crystal.

The structure in POSCAR format:
```
Rb3Ag
1.0
6.1032 0.0000 0.0000
0.0000 6.1032 0.0000
0.0000 0.0000 6.1032
Rb Ag
3 1
Direct
0.0000 0.0000 0.5000
0.0000 0.5000 0.0000
0.5000 0.0000 0.0000
0.5000 0.5000 0.5000
```

Its density of states at the Fermi level is 1.20 states/eV/f.u. The total magnetization is 0.0 μB per formula unit.

***

ii:
The following is a DFT calculation (GGA-PBE) of a relaxed Rb3Ag crystal.

The structure in POSCAR format:
```
Rb3Ag
1.0
-2.2859 3.1512 8.7941
2.2859 -3.1512 8.7941
2.2859 3.1512 -8.7941
Rb Ag
3 1
Direct
0.0000 0.0000 0.0000
0.3324 0.8324 0.5000
0.6676 0.1676 0.5000
0.5000 0.5000 0.0000
```

Its density of states at the Fermi level is 2.55 states/eV/f.u. The total magnetization is 0.0 μB per formula unit.

***

iii:
The following is a DFT calculation (GGA-PBE) of a relaxed Rb3Ag crystal.

The structure in POSCAR format:
```
Rb3Ag
1.0
4.7049 0.0000 0.0000
0.0000 4.7618 0.0000
0.0000 0.0000 12.3889
Rb Ag
3 1
Direct
0.0000 0.0000 0.0000
0.0000 0.5000 0.3462
0.5000 0.5000 0.6824
0.5000 0.0000 0.4617
```

Its density of states at the Fermi level is 2.66 states/eV/f.u. The total magnetization is 0.0 μB per formula unit.

***

iv:
The following is a DFT calculation (GGA-PBE) of a relaxed Rb3Ag crystal.

The structure in POSCAR format:
```
Rb3Ag
1.0
2.5843 -8.0820 0.0000
2.5843 8.0820 0.0000
0.0000 0.0000 11.6923
Rb Ag
6 2
Direct
0.0767 0.9233 0.7500
0.3508 0.6492 0.5658
0.3508 0.6492 0.9342
0.6492 0.3508 0.0658
0.6492 0.3508 0.4342
0.9233 0.0767 0.2500
0.2563 0.7437 0.2500
0.7437 0.2563 0.7500
```

Its density of states at the Fermi level is 2.71 states/eV/f.u. The total magnetization is 0.0 μB per formula unit.

***

Energy ordering: iv at the bottom, the next structure 27 meV per atom above.